Computed, not measured: a relaxed structure of SrLa3Pt at the PBE level of DFT.

SG ... C2/m, No. 12
Offset from the most stable computed form ... 37 meV/atom
Formation enthalpy at 0 K ... -0.40 eV per atom
Crystal system ... monoclinic
Total moment ... 0.00 μB per formula unit

a b c (Å): 10.870 10.870 6.529
angles (deg): 99.83 99.83 28.32
Element x y z (fractional)
1 Sr 0.083 0.083 0.306
2 Sr 0.917 0.917 0.694
3 La 0.189 0.189 0.905
4 La 0.298 0.298 0.443
5 La 0.443 0.443 0.195
6 La 0.557 0.557 0.805
7 La 0.702 0.702 0.557
8 La 0.811 0.811 0.095
9 Pt 0.330 0.330 0.895
10 Pt 0.670 0.670 0.105

***

Computed, not measured: a relaxed structure of SrLa3Pt at the PBE level of DFT.

SG ... P6_3/mmc, No. 194
Offset from the most stable computed form ... 895 meV/atom
Formation enthalpy at 0 K ... 0.46 eV per atom
Crystal system ... hexagonal
Total moment ... 0.00 μB per formula unit

a b c (Å): 4.837 4.837 17.792
angles (deg): 90.00 90.00 120.00
Element x y z (fractional)
1 Sr 0.333 0.667 0.250
2 Sr 0.667 0.333 0.750
3 La 0.000 0.000 0.250
4 La 0.000 0.000 0.750
5 La 0.333 0.667 0.072
6 La 0.333 0.667 0.428
7 La 0.667 0.333 0.572
8 La 0.667 0.333 0.928
9 Pt 0.000 0.000 0.000
10 Pt 0.000 0.000 0.500

***

Computed, not measured: a relaxed structure of SrLaPt at the PBE level of DFT.

SG ... P4/mmm, No. 123
Offset from the most stable computed form ... 3 meV/atom
Formation enthalpy at 0 K ... -0.80 eV per atom
Crystal system ... tetragonal
Total moment ... 0.00 μB per formula unit

a b c (Å): 4.167 4.167 6.194
angles (deg): 90.00 90.00 90.00
Element x y z (fractional)
1 Sr 0.000 0.000 0.000
2 La 0.500 0.500 0.500
3 Pt 0.000 0.000 0.500